1.
Here is an optimized crystal structure of Tl2AgSb from the Alexandria database. Energies are from PBE-GGA.

Summary:
E_form (uncorrected) = 0.101 eV per atom
excess energy over the best structure of this formula in the dataset = 96 meV/atom
calculated total energy = -11.30 eV for the cell shown
symmetry = No. 119

a = 5.3426 Å, b = 5.3426 Å, c = 5.3426 Å
α = 119.61°, β = 119.61°, γ = 90.67°
Fractional positions:
Tl (0.0000, 0.0000, 0.0000)
Tl (0.7500, 0.2500, 0.5000)
Ag (0.5000, 0.5000, 0.0000)
Sb (0.2500, 0.7500, 0.5000)



2.
Here is an optimized crystal structure of LiMgBr from the Alexandria database. Energies are from PBE-GGA.

Summary:
E_form (uncorrected) = -0.803 eV per atom
excess energy over the best structure of this formula in the dataset = 9 meV/atom
calculated total energy = -15.18 eV for the cell shown
symmetry = No. 8

a = 3.6978 Å, b = 3.6978 Å, c = 12.3504 Å
α = 98.51°, β = 98.51°, γ = 60.66°
Fractional positions:
Li (0.0000, 0.0000, 0.0000)
Li (0.5771, 0.5771, 0.7296)
Mg (0.1749, 0.1749, 0.5177)
Mg (0.7768, 0.7768, 0.3319)
Br (0.2803, 0.2803, 0.8472)
Br (0.7028, 0.7028, 0.1142)



3.
Here is an optimized crystal structure of AcPm5Ir3 from the Alexandria database. Energies are from PBE-GGA.

Summary:
formation enthalpy at 0 K = -50 kJ/mol of atoms
calculated total energy = -118.26 eV for the cell shown
symmetry = No. 12

a = 8.0162 Å, b = 8.0162 Å, c = 10.5714 Å
α = 109.36°, β = 109.36°, γ = 71.96°
Fractional positions:
Ac (0.1073, 0.1073, 0.3030)
Ac (0.8927, 0.8927, 0.6970)
Pm (0.0344, 0.6384, 0.3276)
Pm (0.2320, 0.2320, 0.0316)
Pm (0.3058, 0.6942, 0.0000)
Pm (0.3616, 0.9656, 0.6724)
Pm (0.4279, 0.4279, 0.6277)
Pm (0.5721, 0.5721, 0.3723)
Pm (0.6384, 0.0344, 0.3276)
Pm (0.6942, 0.3058, 0.0000)
Pm (0.7680, 0.7680, 0.9684)
Pm (0.9656, 0.3616, 0.6724)
Ir (0.0000, 0.0000, 0.0000)
Ir (0.0000, 0.0000, 0.5000)
Ir (0.3318, 0.3318, 0.8325)
Ir (0.3419, 0.3419, 0.3280)
Ir (0.6581, 0.6581, 0.6720)
Ir (0.6682, 0.6682, 0.1675)



4.
Here is an optimized crystal structure of CrC2 from the Alexandria database. Energies are from PBE-GGA.

Summary:
excess energy over the best structure of this formula in the dataset = 172 meV/atom
formation enthalpy at 0 K = 64 kJ/mol of atoms
calculated total energy = -52.14 eV for the cell shown
symmetry = No. 140

a = 3.9293 Å, b = 3.9293 Å, c = 3.9293 Å
α = 115.20°, β = 115.20°, γ = 98.54°
Fractional positions:
Cr (0.2500, 0.2500, 0.0000)
Cr (0.7500, 0.7500, 0.0000)
C (0.1192, 0.6192, 0.7383)
C (0.3808, 0.1192, 0.5000)
C (0.6192, 0.8808, 0.5000)
C (0.8808, 0.3808, 0.2617)



5.
Here is an optimized crystal structure of LiMnOsC2 from the Alexandria database. Energies are from PBE-GGA.

Summary:
formation enthalpy at 0 K = 231 kJ/mol of atoms
calculated total energy = -28.80 eV for the cell shown
symmetry = No. 123

a = 3.7410 Å, b = 3.7410 Å, c = 3.5712 Å
α = 90.00°, β = 90.00°, γ = 90.00°
Fractional positions:
Li (0.0000, 0.0000, 0.0000)
Mn (0.0000, 0.0000, 0.5000)
Os (0.5000, 0.5000, 0.5000)
C (0.0000, 0.5000, 0.0000)
C (0.5000, 0.0000, 0.0000)



6.
Here is an optimized crystal structure of KReP2O from the Alexandria database. Energies are from PBE-GGA.

Summary:
E_form (uncorrected) = 2.412 eV per atom
excess energy over the best structure of this formula in the dataset = 2665 meV/atom
calculated total energy = -17.27 eV for the cell shown
symmetry = No. 123

a = 4.9614 Å, b = 4.9614 Å, c = 3.7591 Å
α = 90.00°, β = 90.00°, γ = 90.00°
Fractional positions:
K (0.0000, 0.0000, 0.0000)
Re (0.5000, 0.5000, 0.5000)
P (0.0000, 0.5000, 0.0000)
P (0.5000, 0.0000, 0.0000)
O (0.0000, 0.0000, 0.5000)



7.
Here is an optimized crystal structure of MnMoCl2 from the Alexandria database. Energies are from PBE-GGA.

Summary:
E_form (uncorrected) = 0.262 eV per atom
excess energy over the best structure of this formula in the dataset = 565 meV/atom
calculated total energy = -22.65 eV for the cell shown
symmetry = No. 10

a = 2.9653 Å, b = 4.1695 Å, c = 5.7167 Å
α = 90.00°, β = 100.74°, γ = 90.00°
Fractional positions:
Mn (0.0000, 0.0000, 0.0000)
Mo (0.5000, 0.0000, 0.5000)
Cl (0.3718, 0.5000, 0.2523)
Cl (0.6282, 0.5000, 0.7477)



8.
Here is an optimized crystal structure of VIBr from the Alexandria database. Energies are from PBE-GGA.

Summary:
E_form (uncorrected) = -0.350 eV per atom
excess energy over the best structure of this formula in the dataset = 270 meV/atom
calculated total energy = -26.78 eV for the cell shown
symmetry = No. 8

a = 5.9933 Å, b = 5.9933 Å, c = 6.5489 Å
α = 110.89°, β = 110.89°, γ = 92.47°
Fractional positions:
V (0.0000, 0.0000, 0.0000)
V (0.1264, 0.1264, 0.8029)
I (0.0809, 0.5804, 0.7589)
I (0.5804, 0.0809, 0.7589)
Br (0.3389, 0.3389, 0.2521)
Br (0.9168, 0.9168, 0.3549)



9.
Here is an optimized crystal structure of TaVGaTc from the Alexandria database. Energies are from PBE-GGA.

Summary:
formation enthalpy at 0 K = -20 kJ/mol of atoms
calculated total energy = -35.21 eV for the cell shown
symmetry = No. 216

a = 4.4259 Å, b = 4.4259 Å, c = 4.4259 Å
α = 60.00°, β = 60.00°, γ = 60.00°
Fractional positions:
Ta (0.0000, 0.0000, 0.0000)
V (0.2500, 0.2500, 0.2500)
Ga (0.5000, 0.5000, 0.5000)
Tc (0.7500, 0.7500, 0.7500)



10.
Here is an optimized crystal structure of BaZnAgSb2 from the Alexandria database. Energies are from PBE-GGA.

Summary:
E_form (uncorrected) = -0.449 eV per atom
calculated total energy = -16.54 eV for the cell shown
symmetry = No. 119

a = 7.3934 Å, b = 7.3934 Å, c = 7.3934 Å
α = 143.76°, β = 143.76°, γ = 52.19°
Fractional positions:
Ba (0.0000, 0.0000, 0.0000)
Zn (0.7500, 0.2500, 0.5000)
Ag (0.2500, 0.7500, 0.5000)
Sb (0.3742, 0.3742, 0.0000)
Sb (0.6258, 0.6258, 0.0000)



Number 1: density of states at the Fermi level 0.149 states/eV per atom. Number 2: density of states at the Fermi level 0.206 states/eV per atom. Number 3: density of states at the Fermi level 0.661 states/eV per atom. Number 4: density of states at the Fermi level 0.180 states/eV per atom. Number 5: density of states at the Fermi level 0.983 states/eV per atom. Number 6: density of states at the Fermi level 1.400 states/eV per atom. Number 7: density of states at the Fermi level 0.389 states/eV per atom. Number 8: density of states at the Fermi level 0.264 states/eV per atom. Number 9: density of states at the Fermi level 0.630 states/eV per atom. Number 10: density of states at the Fermi level 0.376 states/eV per atom.